Entry 1:
# SrHfAsSe2

A relaxed structure of SrHfAsSe2 (PBE-GGA, Alexandria via LeMat-Bulk).

abc: 5.447 5.447 5.383
angles: 90.00 90.00 90.00
Space group P4/mmm (No. 123)
Inequivalent atoms, fractional coordinates:
Sr 0.000 0.000 0.000 x1
Hf 0.500 0.500 0.500 x1
As 0.000 0.000 0.500 x1
Se 0.000 0.500 0.000 x2

Excess energy over the best structure of this formula in the dataset (eV/atom): 1.799
ΔE_f (raw) (eV/f.u.): 3.6
Calculated total energy (eV/f.u.): -19.69


Entry 2:
# TiCuPCl2

A relaxed structure of TiCuPCl2 (PBE-GGA, Alexandria via LeMat-Bulk).

abc: 4.640 4.640 5.025
angles: 90.00 90.00 90.00
Space group P4/mmm (No. 123)
Inequivalent atoms, fractional coordinates:
Ti 0.000 0.000 0.000 x1
Cu 0.500 0.500 0.500 x1
P 0.000 0.000 0.500 x1
Cl 0.000 0.500 0.000 x2

Excess energy over the best structure of this formula in the dataset (eV/atom): 0.000
ΔE_f (raw) (eV/f.u.): -0.9
Calculated total energy (eV/f.u.): -21.97


Entry 3:
# SbRhAu2F

A relaxed structure of SbRhAu2F (PBE-GGA, Alexandria via LeMat-Bulk).

abc: 4.747 4.747 4.220
angles: 90.00 90.00 90.00
Space group P4/mmm (No. 123)
Inequivalent atoms, fractional coordinates:
Sb 0.000 0.000 0.000 x1
Rh 0.500 0.500 0.000 x1
Au 0.000 0.500 0.500 x2
F 0.500 0.500 0.500 x1

ΔE_f (raw) (eV/f.u.): 1.6
Calculated total energy (eV/f.u.): -18.26


Entry 4:
# TaZnW2

A relaxed structure of TaZnW2 (PBE-GGA, Alexandria via LeMat-Bulk).

abc: 3.333 4.454 8.819
angles: 90.00 90.00 90.00
Space group Imm2 (No. 44)
Inequivalent atoms, fractional coordinates:
Ta 0.000 0.000 0.000 x2
Zn 0.000 0.500 0.236 x2
W 0.000 0.000 0.479 x2
W 0.000 0.500 0.748 x2

Formation energy from the elements (eV per formula unit): 0.766
Calculated total energy (eV/f.u.): -38.27


Entry 5:
# HoScNiGe

A relaxed structure of HoScNiGe (PBE-GGA, Alexandria via LeMat-Bulk).

abc: 6.738 6.738 6.738
angles: 90.00 90.00 90.00
Space group F-43m (No. 216)
Inequivalent atoms, fractional coordinates:
Ho 0.000 0.000 0.000 x4
Sc 0.000 0.000 0.500 x4
Ni 0.250 0.250 0.250 x4
Ge 0.250 0.250 0.750 x4

Formation energy from the elements (eV per formula unit): -2.250
Calculated total energy (eV/f.u.): -23.56


Entry 6:
# CeDyHgIr

A relaxed structure of CeDyHgIr (PBE-GGA, Alexandria via LeMat-Bulk).

abc: 7.221 7.221 7.221
angles: 90.00 90.00 90.00
Space group F-43m (No. 216)
Inequivalent atoms, fractional coordinates:
Ce 0.000 0.000 0.000 x4
Dy 0.000 0.000 0.500 x4
Hg 0.250 0.250 0.250 x4
Ir 0.250 0.250 0.750 x4

Excess energy over the best structure of this formula in the dataset (eV/atom): 0.090
Formation energy from the elements (eV per formula unit): -2.004
Calculated total energy (eV/f.u.): -21.70


Entry 7:
# Ta2Te2S

A relaxed structure of Ta2Te2S (PBE-GGA, Alexandria via LeMat-Bulk).

abc: 7.975 7.975 3.349
angles: 90.00 90.00 90.00
Space group P4/mbm (No. 127)
Inequivalent atoms, fractional coordinates:
Ta 0.149 0.351 0.000 x4
Te 0.144 0.644 0.500 x4
S 0.000 0.000 0.500 x2

Excess energy over the best structure of this formula in the dataset (eV/atom): 0.202
ΔE_f (raw) (eV/f.u.): 2.7
Calculated total energy (eV/f.u.): -31.37


Entry 8:
# Hg6I

A relaxed structure of Hg6I (PBE-GGA, Alexandria via LeMat-Bulk).

abc: 8.366 8.366 8.366
angles: 90.00 90.00 90.00
Space group Im-3m (No. 229)
Inequivalent atoms, fractional coordinates:
Hg 0.000 0.250 0.500 x12
I 0.000 0.000 0.000 x2

Excess energy over the best structure of this formula in the dataset (eV/atom): 0.061
ΔE_f (raw) (eV/f.u.): 0.2
Calculated total energy (eV/f.u.): -3.11


Entry 9:
# Cs4HgAuI2

A relaxed structure of Cs4HgAuI2 (PBE-GGA, Alexandria via LeMat-Bulk).

abc: 9.557 5.264 9.702
angles: 90.00 107.09 90.00
Space group P2/m (No. 10)
Inequivalent atoms, fractional coordinates:
Cs 0.237 0.000 0.240 x2
Cs 0.237 0.500 0.746 x2
Hg 0.500 0.000 0.000 x1
Au 0.000 0.500 0.000 x1
I 0.000 0.000 0.500 x1
I 0.500 0.500 0.500 x1

ΔE_f (raw) (eV/f.u.): -6.7
Calculated total energy (eV/f.u.): -16.82


Entry 10:
# K2SmTiTe4

A relaxed structure of K2SmTiTe4 (PBE-GGA, Alexandria via LeMat-Bulk).

abc: 7.577 4.368 8.616
angles: 90.00 106.94 90.00
Space group P2/m (No. 10)
Inequivalent atoms, fractional coordinates:
K 0.000 0.000 0.000 x1
K 0.500 0.500 0.000 x1
Sm 0.000 0.500 0.500 x1
Ti 0.500 0.000 0.500 x1
Te 0.257 0.000 0.708 x2
Te 0.290 0.500 0.305 x2

ΔE_f (raw) (eV/f.u.): -8.6
Calculated total energy (eV/f.u.): -36.00


Entry 11:
# La12Tb7Sc

A relaxed structure of La12Tb7Sc (PBE-GGA, Alexandria via LeMat-Bulk).

abc: 19.5485 19.5485 6.3651
angles: 90.00 90.00 120.00
Space group R-3 (No. 148, hexagonal axes)
Inequivalent atoms, fractional coordinates:
La 0.0002 0.4081 0.0007 x18
La 0.0980 0.5493 0.4812 x18
Tb 0.0000 0.0000 0.0000 x3
Tb 0.0812 0.9182 0.3091 x18
Sc 0.0000 0.0000 0.5000 x3

Formation energy from the elements (eV per formula unit): 3.192
Calculated total energy (eV/f.u.): -94.68


Entry 12:
# Pr6CuHg3

A relaxed structure of Pr6CuHg3 (PBE-GGA, Alexandria via LeMat-Bulk).

abc: 9.442 5.412 12.011
angles: 90.00 108.23 90.00
Space group P2_1/m (No. 11)
Inequivalent atoms, fractional coordinates:
Pr 0.020 0.250 0.406 x2
Pr 0.166 0.750 0.174 x2
Pr 0.251 0.250 0.998 x2
Pr 0.372 0.250 0.350 x2
Pr 0.372 0.750 0.841 x2
Pr 0.396 0.250 0.636 x2
Cu 0.447 0.750 0.105 x2
Hg 0.027 0.750 0.875 x2
Hg 0.113 0.250 0.719 x2
Hg 0.271 0.750 0.473 x2

Formation energy from the elements (eV per formula unit): -2.663
Calculated total energy (eV/f.u.): -36.34


Entry 13:
# BaY2Os

A relaxed structure of BaY2Os (PBE-GGA, Alexandria via LeMat-Bulk).

abc: 7.539 7.539 7.539
angles: 90.00 90.00 90.00
Space group F-43m (No. 216)
Inequivalent atoms, fractional coordinates:
Ba 0.000 0.000 0.000 x4
Y 0.000 0.000 0.500 x4
Y 0.250 0.250 0.750 x4
Os 0.250 0.250 0.250 x4

Excess energy over the best structure of this formula in the dataset (eV/atom): 0.665
Formation energy from the elements (eV per formula unit): 2.506
Calculated total energy (eV/f.u.): -23.58


Entry 14:
# BaSn2Pb3

A relaxed structure of BaSn2Pb3 (PBE-GGA, Alexandria via LeMat-Bulk).

abc: 7.2129 7.2129 25.6750
angles: 90.00 90.00 120.00
Space group R-3m (No. 166, hexagonal axes)
Inequivalent atoms, fractional coordinates:
Ba 0.0000 0.0000 0.2191 x6
Sn 0.0000 0.0000 0.0000 x3
Sn 0.0000 0.5000 0.0000 x9
Pb 0.0184 0.5092 0.2287 x18

Excess energy over the best structure of this formula in the dataset (eV/atom): 0.058
Formation energy from the elements (eV per formula unit): -1.130
Calculated total energy (eV/f.u.): -22.18


Entry 15:
# NpSn2S6

A relaxed structure of NpSn2S6 (PBE-GGA, Alexandria via LeMat-Bulk).

abc: 12.312 4.307 9.153
angles: 90.00 107.81 90.00
Space group C2/m (No. 12)
Inequivalent atoms, fractional coordinates:
Np 0.000 0.000 0.000 x2
Sn 0.212 0.000 0.657 x4
S 0.033 0.000 0.741 x4
S 0.143 0.500 0.510 x4
S 0.147 0.500 0.084 x4

ΔE_f (raw) (eV/f.u.): -4.4
Calculated total energy (eV/f.u.): -50.14


Entry 16:
# Al2Cu3

A relaxed structure of Al2Cu3 (PBE-GGA, Alexandria via LeMat-Bulk).

abc: 8.940 12.368 4.769
angles: 90.00 90.00 90.00
Space group Fdd2 (No. 43)
Inequivalent atoms, fractional coordinates:
Al 0.039 0.303 0.000 x16
Cu 0.000 0.000 0.435 x8
Cu 0.052 0.397 0.475 x16

Excess energy over the best structure of this formula in the dataset (eV/atom): 0.000
Formation energy from the elements (eV per formula unit): -0.755
Calculated total energy (eV/f.u.): -20.53


Entry 17:
# MgTlSiGe2

A relaxed structure of MgTlSiGe2 (PBE-GGA, Alexandria via LeMat-Bulk).

abc: 5.092 5.092 5.020
angles: 90.00 90.00 90.00
Space group P4/mmm (No. 123)
Inequivalent atoms, fractional coordinates:
Mg 0.000 0.000 0.000 x1
Tl 0.500 0.500 0.500 x1
Si 0.000 0.000 0.500 x1
Ge 0.000 0.500 0.000 x2

ΔE_f (raw) (eV/f.u.): 3.5
Calculated total energy (eV/f.u.): -15.16


Entry 18:
# MnCrOs2

A relaxed structure of MnCrOs2 (PBE-GGA, Alexandria via LeMat-Bulk).

abc: 3.741 3.741 7.534
angles: 90.00 90.00 90.00
Space group I-4m2 (No. 119)
Inequivalent atoms, fractional coordinates:
Mn 0.000 0.000 0.000 x2
Cr 0.000 0.500 0.250 x2
Os 0.000 0.000 0.500 x2
Os 0.000 0.500 0.750 x2

Formation energy from the elements (eV per formula unit): 0.233
Calculated total energy (eV/f.u.): -41.02